# Zr3N (GGA-PBE, optimized geometry)
data_Zr3N
_chemical_formula_sum 'Zr24 N8'
_cell_length_a 4.592
_cell_length_b 13.818
_cell_length_c 9.191
_cell_angle_alpha 90.00
_cell_angle_beta 90.00
_cell_angle_gamma 90.00
_symmetry_space_group_name_H-M 'C m m e'
_symmetry_Int_Tables_number 67
_symmetry_space_group_name_Hall '-C 2a 2'
loop_
_atom_site_label
_atom_site_type_symbol
_atom_site_fract_x
_atom_site_fract_y
_atom_site_fract_z
Zr1 Zr 0.000 0.080 0.120
Zr2 Zr 0.000 0.087 0.622
Zr3 Zr 0.000 0.250 0.384
Zr4 Zr 0.000 0.250 0.868
N1 N 0.000 0.083 0.874
# - ΔE_f (raw): -83.4 kJ per mole of atoms

***

# PaBeGa (GGA-PBE, optimized geometry)
data_PaBeGa
_chemical_formula_sum 'Pa1 Be1 Ga1'
_cell_length_a 3.9276
_cell_length_b 3.9276
_cell_length_c 4.0678
_cell_angle_alpha 90.00
_cell_angle_beta 90.00
_cell_angle_gamma 120.00
_symmetry_space_group_name_H-M 'P -6 m 2'
_symmetry_Int_Tables_number 187
_symmetry_space_group_name_Hall 'P -6 2'
loop_
_atom_site_label
_atom_site_type_symbol
_atom_site_fract_x
_atom_site_fract_y
_atom_site_fract_z
Pa1 Pa 0.0000 0.0000 0.0000
Be1 Be 0.6667 0.3333 0.5000
Ga1 Ga 0.3333 0.6667 0.5000
# - ΔE_f: -17.7 kJ per mole of atoms

***

# RbYAsBr2 (GGA-PBE, optimized geometry)
data_RbYAsBr2
_chemical_formula_sum 'Rb1 Y1 As1 Br2'
_cell_length_a 5.712
_cell_length_b 5.712
_cell_length_c 5.821
_cell_angle_alpha 90.00
_cell_angle_beta 90.00
_cell_angle_gamma 90.00
_symmetry_space_group_name_H-M 'P 4/m m m'
_symmetry_Int_Tables_number 123
_symmetry_space_group_name_Hall '-P 4 2'
loop_
_atom_site_label
_atom_site_type_symbol
_atom_site_fract_x
_atom_site_fract_y
_atom_site_fract_z
Rb1 Rb 0.000 0.000 0.000
Y1 Y 0.500 0.500 0.500
As1 As 0.000 0.000 0.500
Br1 Br 0.000 0.500 0.000
# - ΔE_f (raw): 10.0 kJ per mole of atoms

***

# IrOsW3 (GGA-PBE, optimized geometry)
data_IrOsW3
_chemical_formula_sum 'Ir1 Os1 W3'
_cell_length_a 4.670
_cell_length_b 4.670
_cell_length_c 4.670
_cell_angle_alpha 90.00
_cell_angle_beta 90.00
_cell_angle_gamma 90.00
_symmetry_space_group_name_H-M 'P m -3 m'
_symmetry_Int_Tables_number 221
_symmetry_space_group_name_Hall '-P 4 2 3'
loop_
_atom_site_label
_atom_site_type_symbol
_atom_site_fract_x
_atom_site_fract_y
_atom_site_fract_z
Ir1 Ir 0.000 0.000 0.000
Os1 Os 0.500 0.500 0.500
W1 W 0.000 0.500 0.500
# - ΔE_f: 203.0 kJ per mole of atoms